[1]
# PBE-GGA CaZr2Pt, relaxed
# E_form = -0.79 eV/f.u.
# excess energy over the best structure of this formula in the dataset = 260 meV/atom
# total magnetic moment = 0.0 Bohr magnetons per cell
# uncorrected energy = -6.4826 eV/atom
data_CaZr2Pt
_cell_length_a 3.5154
_cell_length_b 4.4443
_cell_length_c 6.1274
_cell_angle_alpha 90.00
_cell_angle_beta 104.70
_cell_angle_gamma 90.00
_space_group_name_H-M_alt 'P 1 2/m 1'
_space_group_IT_number 10
_space_group_name_Hall '-P 2y'
loop_
_atom_site_label
_atom_site_fract_x
_atom_site_fract_y
_atom_site_fract_z
Ca1 0.0000 0.0000 0.0000
Zr1 0.4108 0.5000 0.7065
Pt1 0.0000 0.0000 0.5000

[2]
# PBE-GGA BaSb2HIr, relaxed
# total magnetic moment = 0.0 Bohr magnetons per cell
# uncorrected energy = -4.3382 eV/atom
data_BaSb2HIr
_cell_length_a 5.5501
_cell_length_b 5.5501
_cell_length_c 3.5909
_cell_angle_alpha 90.00
_cell_angle_beta 90.00
_cell_angle_gamma 90.00
_space_group_name_H-M_alt 'P 4/m m m'
_space_group_IT_number 123
_space_group_name_Hall '-P 4 2'
loop_
_atom_site_label
_atom_site_fract_x
_atom_site_fract_y
_atom_site_fract_z
Ba1 0.0000 0.0000 0.0000
Sb1 0.0000 0.5000 0.5000
H1 0.5000 0.5000 0.5000
Ir1 0.5000 0.5000 0.0000

What did the second record say?
# PBE-GGA BaSb2HIr, relaxed
# total magnetic moment = 0.0 Bohr magnetons per cell
# uncorrected energy = -4.3382 eV/atom
data_BaSb2HIr
_cell_length_a 5.5501
_cell_length_b 5.5501
_cell_length_c 3.5909
_cell_angle_alpha 90.00
_cell_angle_beta 90.00
_cell_angle_gamma 90.00
_space_group_name_H-M_alt 'P 4/m m m'
_space_group_IT_number 123
_space_group_name_Hall '-P 4 2'
loop_
_atom_site_label
_atom_site_fract_x
_atom_site_fract_y
_atom_site_fract_z
Ba1 0.0000 0.0000 0.0000
Sb1 0.0000 0.5000 0.5000
H1 0.5000 0.5000 0.5000
Ir1 0.5000 0.5000 0.0000